No. 1
Material: ScHPd3
Method: DFT, PBE
State: optimized geometry

```
ScHPd3
1.0
-0.7480 1.9231 2.2892
-0.0847 -3.0467 0.4571
16.6788 0.3142 5.1859
Pd H Sc
6 2 2
direct
0.0000 0.0000 0.7500
0.3333 0.6667 0.8835
0.0000 0.0000 0.2500
0.3333 0.6667 0.6165
0.6667 0.3333 0.1165
0.6667 0.3333 0.3835
0.3333 0.6667 0.7500
0.6667 0.3333 0.2500
0.0000 0.0000 0.5000
0.0000 0.0000 0.0000
```

The symmetry is No. 194. As for the total magnetization: 0.00 μB per atom. Its energy above the lowest structure with this stoichiometry is 370.5 meV/atom. The energy is -5.38 eV/atom.

***

No. 2
Material: SbSeI2N
Method: DFT, PBE
State: optimized geometry

```
SbSeI2N
1.0
4.8109 0.0000 0.0000
0.0000 4.8109 0.0000
0.0000 0.0000 5.2436
Se Sb N I
1 1 1 2
direct
0.5000 0.5000 0.5000
0.0000 0.0000 0.5000
0.0000 0.0000 0.0000
0.0000 0.5000 0.0000
0.5000 0.0000 0.0000
```

The energy relative to the elements, uncorrected is 22.616 kcal/mol of atoms. The symmetry is No. 123. As for the total magnetization: 0.00 μB per atom. Its energy above the lowest structure with this stoichiometry is 102.7 meV/atom. The energy is -2.83 eV/atom.

***

No. 3
Material: AcLa3
Method: DFT, PBE
State: optimized geometry

```
AcLa3
1.0
3.6918 0.0000 0.0000
0.0000 12.0287 0.0670
0.0000 0.2463 7.0649
Ac La
2 6
direct
0.2500 0.3752 0.6144
0.7500 0.6248 0.3856
0.2500 0.6370 0.8963
0.7500 0.3630 0.1037
0.2500 0.1017 0.8644
0.7500 0.8830 0.6337
0.7500 0.8983 0.1356
0.2500 0.1170 0.3663
```

The symmetry is No. 11. The formation enthalpy at 0 K is 0.10 eV/atom. As for the total magnetization: 0.00 μB per atom. Its energy above the lowest structure with this stoichiometry is 96.7 meV/atom. The energy is -4.62 eV/atom.